1.
A relaxed structure of Li2Mg2In5, computed with PBE.

The energy of formation from the pure elements is -0.057 eV per atom. The offset from the most stable computed form is 51.3 meV/atom. The calculation puts the mass density at 5.0 Mg/m³. The total energy comes out at -2.358 eV per atom. Its density of states at the Fermi level is 15.73 states/eV/cell.

The structure belongs to space group Cmce (No. 64); the cell edges are 15.7412, 7.2638 and 7.3905 Å and the angles 90.00°, 90.00° and 90.00°. The inequivalent atoms are Li at (0.0000, 0.1373, 0.1391), Mg at (0.2127, 0.0000, 0.5000), In at (0.0000, 0.0000, 0.5000) and In at (0.1268, 0.1603, 0.8405).

2.
A relaxed structure of Li4Mg4In3, computed with PBE.

The energy of formation from the pure elements is -0.125 eV per atom. The offset from the most stable computed form is 28.6 meV/atom. The calculation puts the mass density at 3.4 Mg/m³. The total energy comes out at -2.147 eV per atom. Its density of states at the Fermi level is 7.02 states/eV/cell.

The structure belongs to space group Immm (No. 71); the cell edges are 3.0715, 4.8300 and 30.7549 Å and the angles 90.00°, 90.00° and 90.00°. The inequivalent atoms are Li at (0.0000, 0.0000, 0.0425), Li at (0.0000, 0.5000, 0.1804), Mg at (0.0000, 0.0000, 0.2309), Mg at (0.0000, 0.5000, 0.0898), In at (0.0000, 0.0000, 0.5000) and In at (0.0000, 0.5000, 0.3631).

Q: Which of these has the lowest offset from the most stable computed form?
A: Li4Mg4In3

What did the first record say?
A relaxed structure of Li2Mg2In5, computed with PBE.

The energy of formation from the pure elements is -0.057 eV per atom. The offset from the most stable computed form is 51.3 meV/atom. The calculation puts the mass density at 5.0 Mg/m³. The total energy comes out at -2.358 eV per atom. Its density of states at the Fermi level is 15.73 states/eV/cell.

The structure belongs to space group Cmce (No. 64); the cell edges are 15.7412, 7.2638 and 7.3905 Å and the angles 90.00°, 90.00° and 90.00°. The inequivalent atoms are Li at (0.0000, 0.1373, 0.1391), Mg at (0.2127, 0.0000, 0.5000), In at (0.0000, 0.0000, 0.5000) and In at (0.1268, 0.1603, 0.8405).

Q: Which of these has the highest total energy?
A: Li4Mg4In3